First-principles (PBE+U) data for crystalline FePb2F6 at its relaxed geometry, as listed in the Alexandria database.

Output
The volume is 17.286 Å³ per atom. The total magnetization is 8.00 μB/cell. The density of states at the Fermi level comes out at 0.0 states/eV/cell. The value obtained for the density is 6.2 g/cm3. The calculation puts the total energy at -5.082 eV per atom.

Lattice parameters (Å, degrees): 5.9415 6.6714 9.4643 90.00 123.96 90.00
Atoms (fractional coordinates):
Fe (0.0000, 0.0000, 0.0000)
Fe (0.0000, 0.5000, 0.5000)
Pb (0.2601, 0.0893, 0.7401)
Pb (0.2601, 0.4107, 0.2401)
Pb (0.7399, 0.5893, 0.7599)
Pb (0.7399, 0.9107, 0.2599)
F (0.0870, 0.0512, 0.2398)
F (0.0870, 0.4488, 0.7398)
F (0.1650, 0.7007, 0.0578)
F (0.1650, 0.7993, 0.5578)
F (0.3574, 0.1311, 0.0528)
F (0.3574, 0.3689, 0.5528)
F (0.6426, 0.6311, 0.4472)
F (0.6426, 0.8689, 0.9472)
F (0.8350, 0.2007, 0.4422)
F (0.8350, 0.2993, 0.9422)
F (0.9130, 0.5512, 0.2602)
F (0.9130, 0.9488, 0.7602)